Record 1
{
  "formula": "Pm2CuPd9",
  "functional": "PBE-GGA",
  "state": "optimized geometry",
  "density_g_cm3": 10.5,
  "final_energy_ev_per_atom": -5.543,
  "n_ef_per_ev_atom": 1.0509,
  "cell": [[4.1608, 0.0000, 0.0000], [0.0000, 4.1608, 0.0000], [0.0000, 0.0000, 11.9356]],
  "species": ["Pm", "Pm", "Cu", "Pd", "Pd", "Pd", "Pd", "Pd", "Pd", "Pd", "Pd", "Pd"],
  "fractional_positions": [[0.0000, 0.0000, 0.1777], [0.0000, 0.0000, 0.8223], [0.0000, 0.0000, 0.5000], [0.0000, 0.5000, 0.0000], [0.0000, 0.5000, 0.3521], [0.0000, 0.5000, 0.6479], [0.5000, 0.0000, 0.0000], [0.5000, 0.0000, 0.3521], [0.5000, 0.0000, 0.6479], [0.5000, 0.5000, 0.1752], [0.5000, 0.5000, 0.5000], [0.5000, 0.5000, 0.8248]]
}

=====

Record 2
{
  "formula": "PmCu4Pd2",
  "functional": "PBE-GGA",
  "state": "optimized geometry",
  "density_g_cm3": 7.1,
  "final_energy_ev_per_atom": -4.266,
  "n_ef_per_ev_atom": 0.4940,
  "cell": [[-3.6281, 3.6281, 2.7155], [3.6281, -3.6281, 2.7155], [3.6281, 3.6281, -2.7155]],
  "species": ["Pm", "Cu", "Cu", "Cu", "Cu", "Pd", "Pd"],
  "fractional_positions": [[0.0000, 0.0000, 0.0000], [0.2781, 0.5000, 0.7781], [0.5000, 0.2781, 0.7781], [0.5000, 0.7219, 0.2219], [0.7219, 0.5000, 0.2219], [0.2500, 0.7500, 0.5000], [0.7500, 0.2500, 0.5000]]
}